## Sr2YAs (PBE)

Data for a geometry-optimized Sr2YAs structure.

Results
For the final energy, the calculation gives -4.16 eV per atom. Its density is 3.9 Mg/m³. The value obtained for the density of states at the Fermi level is 3.01 states/eV/f.u.

abc: 3.835 3.835 9.895
angles: 90.00 90.00 90.00
Positions (direct):
Sr 0.000 0.000 0.000
Sr 0.500 0.500 0.352
Y 0.000 0.000 0.661
As 0.500 0.500 0.783

***

## PdPtSe2N (PBE)

Data for a geometry-optimized PdPtSe2N structure.

Results
For the final energy, the calculation gives -4.60 eV per atom. Its density is 8.0 Mg/m³. The value obtained for the density of states at the Fermi level is 5.11 states/eV/f.u. The calculation puts the raw formation energy at 703 meV/atom.

abc: 5.208 5.208 3.621
angles: 90.00 90.00 90.00
Positions (direct):
Pd 0.000 0.000 0.000
Pt 0.500 0.500 0.500
Se 0.000 0.500 0.500
Se 0.500 0.000 0.500
N 0.500 0.500 0.000

***

## Nd3MnPt8 (PBE)

Data for a geometry-optimized Nd3MnPt8 structure.

Results
For the final energy, the calculation gives -6.86 eV per atom. Its density is 14.7 Mg/m³. The value obtained for the density of states at the Fermi level is 6.83 states/eV/f.u.

abc: 9.457 9.457 9.457
angles: 33.63 33.63 33.63
Positions (direct):
Nd 0.000 0.000 0.000
Nd 0.129 0.129 0.129
Nd 0.516 0.516 0.516
Mn 0.645 0.645 0.645
Pt 0.067 0.568 0.568
Pt 0.069 0.069 0.567
Pt 0.069 0.567 0.069
Pt 0.317 0.317 0.317
Pt 0.567 0.069 0.069
Pt 0.568 0.067 0.568
Pt 0.568 0.568 0.067
Pt 0.818 0.818 0.818

***

Question: Which value of final energy does entry 3 give?
Answer: -6.86 eV per atom